Zr2ScGa: relaxed, PBE.

The structure in POSCAR format:
```
Zr2ScGa
1.0
3.1508 0.0000 0.0000
0.0000 3.1508 0.0000
0.0000 0.0000 8.6277
Zr Sc Ga
2 1 1
Direct
0.0000 0.0000 0.2240 Zr
0.0000 0.0000 0.7760 Zr
0.5000 0.5000 0.5000 Sc
0.5000 0.5000 0.0000 Ga
```

Summary:
Magnetization   0.0 μB per cell
V   85.7 Å³/f.u.
D(E_F)   5.44 states/eV per cell
Density   5.76 Mg/m³
Energy   -6.857 eV per atom